Ca2TmH12Rh3 | PBE | relaxed

Unit cell a=5.9761 b=5.9761 c=5.9761 alpha=67.39 beta=67.39 gamma=67.39
Element x y z (fractional)
1 Ca 0.3798 0.3797 0.3798
2 Ca 0.6202 0.6202 0.6202
3 H 0.2875 0.8822 0.2875
4 H 0.1178 0.7125 0.7125
5 H 0.8822 0.2875 0.2875
6 H 0.4084 0.8637 0.8637
7 H 0.8637 0.8637 0.4084
8 H 0.7125 0.1178 0.7125
9 H 0.5916 0.1363 0.1363
10 H 0.7125 0.7125 0.1178
11 H 0.1363 0.5916 0.1363
12 H 0.2875 0.2875 0.8822
13 H 0.1363 0.1363 0.5916
14 H 0.8637 0.4084 0.8637
15 Rh 0.0000 0.0000 0.5000
16 Rh 0.5000 0.0000 0.0000
17 Rh 0.0000 0.5000 0.0000
18 Tm 0.0000 0.0000 0.0000

## Properties
magnetic moment: 0.0000 μB/atom
crystal system: trigonal
electronic total energy: -78.27 eV/cell
SG: R-3m, No. 166
volume: 175 Å³/f.u.